The following is a DFT calculation (PBEsol) of LiYMg14O16 after structural relaxation.

Cell: 8.533 8.533 4.268 Å, 90.00 90.00 90.00°
Positions (direct):
Li: 0.000 0.000 0.000
Y: 0.500 0.500 0.000
Mg: 0.000 0.242 0.500
Mg: 0.000 0.500 0.000
Mg: 0.000 0.758 0.500
Mg: 0.236 0.500 0.500
Mg: 0.238 0.238 0.000
Mg: 0.238 0.762 0.000
Mg: 0.242 0.000 0.500
Mg: 0.500 0.000 0.000
Mg: 0.500 0.236 0.500
Mg: 0.500 0.764 0.500
Mg: 0.758 0.000 0.500
Mg: 0.762 0.238 0.000
Mg: 0.762 0.762 0.000
Mg: 0.764 0.500 0.500
O: 0.000 0.000 0.500
O: 0.000 0.257 0.000
O: 0.000 0.500 0.500
O: 0.000 0.743 0.000
O: 0.242 0.500 0.000
O: 0.252 0.252 0.500
O: 0.252 0.748 0.500
O: 0.257 0.000 0.000
O: 0.500 0.000 0.500
O: 0.500 0.242 0.000
O: 0.500 0.500 0.500
O: 0.500 0.758 0.000
O: 0.743 0.000 0.000
O: 0.748 0.252 0.500
O: 0.748 0.748 0.500
O: 0.758 0.500 0.000

* uncorrected formation energy: -2.73 eV per atom
* space-group type: P4/mmm

The following is a DFT calculation (PBEsol) of LiYMg14O16 after structural relaxation.

Cell: 4.266 8.516 8.541 Å, 90.00 90.00 90.00°
Positions (direct):
Li: 0.000 0.000 0.000
Y: 0.000 0.000 0.500
Mg: 0.000 0.252 0.238
Mg: 0.000 0.252 0.762
Mg: 0.000 0.500 0.000
Mg: 0.000 0.500 0.500
Mg: 0.000 0.748 0.238
Mg: 0.000 0.748 0.762
Mg: 0.500 0.000 0.231
Mg: 0.500 0.000 0.769
Mg: 0.500 0.246 0.000
Mg: 0.500 0.261 0.500
Mg: 0.500 0.500 0.246
Mg: 0.500 0.500 0.754
Mg: 0.500 0.739 0.500
Mg: 0.500 0.754 0.000
O: 0.000 0.000 0.244
O: 0.000 0.000 0.756
O: 0.000 0.259 0.500
O: 0.000 0.260 0.000
O: 0.000 0.500 0.251
O: 0.000 0.500 0.749
O: 0.000 0.740 0.000
O: 0.000 0.741 0.500
O: 0.500 0.000 0.000
O: 0.500 0.000 0.500
O: 0.500 0.249 0.252
O: 0.500 0.249 0.748
O: 0.500 0.500 0.000
O: 0.500 0.500 0.500
O: 0.500 0.751 0.252
O: 0.500 0.751 0.748

* uncorrected formation energy: -2.73 eV per atom
* space-group type: Pmmm

The following is a DFT calculation (PBEsol) of Li2MgZrO4 after structural relaxation.

Cell: 5.354 5.354 5.354 Å, 133.80 133.80 67.39°
Positions (direct):
Li: 0.000 0.000 0.000
Li: 0.750 0.250 0.500
Mg: 0.250 0.750 0.500
Zr: 0.500 0.500 0.000
O: 0.012 0.512 0.500
O: 0.268 0.268 0.000
O: 0.488 0.988 0.500
O: 0.732 0.732 0.000

* uncorrected formation energy: -2.75 eV per atom
* space-group type: I-4m2

The following is a DFT calculation (PBEsol) of Li2Mg2Os after structural relaxation.

Cell: 4.776 4.776 4.776 Å, 120.77 120.77 88.67°
Positions (direct):
Li: 0.142 0.142 0.000
Li: 0.858 0.858 0.000
Mg: 0.250 0.750 0.500
Mg: 0.750 0.250 0.500
Os: 0.500 0.500 0.000

* space-group type: I4/mmm
* energy: -3.4352 eV per atom

The following is a DFT calculation (PBEsol) of LiMgOs2 after structural relaxation.

Cell: 9.437 9.437 9.437 Å, 16.86 16.86 16.86°
Positions (direct):
Li: 0.000 0.000 0.000
Mg: 0.762 0.762 0.762
Os: 0.252 0.252 0.252
Os: 0.512 0.512 0.512

* space-group type: R3m
* energy: -6.7912 eV per atom

The following is a DFT calculation (PBEsol) of LiMgOs2 after structural relaxation.

Cell: 5.220 5.220 2.666 Å, 102.41 102.41 120.03°
Positions (direct):
Li: 0.000 0.000 0.000
Mg: 0.500 0.500 0.000
Os: 0.000 0.500 0.500
Os: 0.500 0.000 0.500

* space-group type: C2/m
* energy: -6.7473 eV per atom

no.,mass density (g/cm3),spin magnetization (μB/cell)
1,3.70,0.00
2,3.70,0.00
3,4.09,0.00
4,5.51,0.00
5,11.09,0.00
6,12.04,0.00